VASP calculation (PBE+U) on a relaxed CoPbIO6 crystal.

```
9
Lattice="5.098 0.000 0.000 -2.549 4.415 0.000 0.000 0.000 5.509" Properties=species:S:1:pos:R:3 pbc="T T T"
Co 0.000 0.000 0.000
Pb 2.549 1.472 2.754
I 0.000 2.944 0.000
O -0.621 1.477 1.079
O -1.580 3.138 4.430
O 0.621 1.477 4.430
O -0.959 4.215 1.079
O 1.580 3.138 1.079
O 0.959 4.215 4.430
```

Energy = -46.672 eV/cell
Crystal system = trigonal
Total magnetic moment = 0.00 μB/atom